# Ca2HfAu4

An optimized crystal structure of Ca2HfAu4 (PBE, Alexandria via LeMat-Bulk).

Unit cell a=7.5982 b=7.5982 c=7.5982 alpha=142.07 beta=142.07 gamma=54.72
With the nearest neighbours (Å) after each atom.
Positions (direct):
Ca  0.2333  0.2333  0.0000  8 Au 3.00-3.28
Ca  0.7667  0.7667  0.0000  8 Au 3.00-3.28
Hf  0.5000  0.5000  0.0000  8 Au 2.86
Au  0.1070  0.6070  0.5000  2 Hf 2.86, 1 Au 2.89, 2 Ca 3.00
Au  0.3930  0.8930  0.5000  2 Hf 2.86, 1 Au 2.89, 2 Ca 3.00
Au  0.6070  0.1070  0.5000  2 Hf 2.86, 1 Au 2.89, 2 Ca 3.00
Au  0.8930  0.3930  0.5000  2 Hf 2.86, 1 Au 2.89, 2 Ca 3.00

The density of states at the Fermi level is 0.60 states/eV per atom. The formation energy comes out at -3.71 eV per formula unit.